# SmEr4Pt4

A relaxed structure of SmEr4Pt4 (GGA-PBE, Alexandria).

Cell lengths 5.6822, 9.0473, 9.0473 Å; angles 90.00, 90.00, 90.00 degrees
With the nearest neighbours (Å) after each atom.
Element x y z (fractional)
Sm: 0.0000 0.0000 0.0000  4 Pt 2.90
Sm: 0.5000 0.5000 0.5000  4 Pt 2.90
Er: 0.4168 0.3319 0.9006  5 Pt 2.82-2.88
Er: 0.9168 0.5994 0.8319  5 Pt 2.82-2.88
Er: 0.4168 0.6681 0.0994  5 Pt 2.82-2.88
Er: 0.0832 0.1681 0.5994  5 Pt 2.82-2.88
Er: 0.5832 0.9006 0.6681  5 Pt 2.82-2.88
Er: 0.0832 0.8319 0.4006  5 Pt 2.82-2.88
Er: 0.9168 0.4006 0.1681  5 Pt 2.82-2.88
Er: 0.5832 0.0994 0.3319  5 Pt 2.82-2.88
Pt: 0.5823 0.7899 0.3728  5 Er 2.82-2.88, 1 Sm 2.90, 1 Pt 3.01
Pt: 0.5823 0.2101 0.6272  5 Er 2.82-2.88, 1 Sm 2.90, 1 Pt 3.01
Pt: 0.0823 0.8728 0.7101  5 Er 2.82-2.88, 1 Sm 2.90, 1 Pt 3.01
Pt: 0.9177 0.2899 0.8728  5 Er 2.82-2.88, 1 Sm 2.90, 1 Pt 3.01
Pt: 0.9177 0.7101 0.1272  5 Er 2.82-2.88, 1 Sm 2.90, 1 Pt 3.01
Pt: 0.4177 0.3728 0.2101  5 Er 2.82-2.88, 1 Sm 2.90, 1 Pt 3.01
Pt: 0.4177 0.6272 0.7899  5 Er 2.82-2.88, 1 Sm 2.90, 1 Pt 3.01
Pt: 0.0823 0.1272 0.2899  5 Er 2.82-2.88, 1 Sm 2.90, 1 Pt 3.01

Uncorrected energy, eV per formula unit: -56.73
Calculated formation energy, meV/atom: -1066
V, Å³/cell: 465
Crystal system: tetragonal